The following is a GGA-PBE calculation of Mo2AsBr after structural relaxation, from Alexandria via LeMat-Bulk.

Computed properties:
DOS(E_F): 5.45 states/eV/cell
Magnetic moment: 0.61 μB/cell
SG: F-43m (216)
Polymorph energy (0 for the lowest one): 0.8179 eV/atom
Density: 8.251 g/cm³
Formation energy without anion corrections: 0.95 eV/atom

Cell lengths 4.6210, 4.6210, 4.6210 Å; angles 60.00, 60.00, 60.00 degrees
Last column: nearest neighbours and their distance in Å.
Fractional positions:
Mo: 0.0000 0.0000 0.0000  4 Mo 2.83, 4 Br 2.83
Mo: 0.2500 0.2500 0.2500  4 As 2.83, 4 Mo 2.83
Br: 0.7500 0.7500 0.7500  4 Mo 2.83, 4 As 2.83
As: 0.5000 0.5000 0.5000  4 Mo 2.83, 4 Br 2.83

The following is a GGA-PBE calculation of TiBSbTe2 after structural relaxation, from Alexandria via LeMat-Bulk.

Computed properties:
DOS(E_F): 4.37 states/eV/cell
Magnetic moment: 0.00 μB/cell
SG: P4/mmm (123)
Polymorph energy (0 for the lowest one): 0.0000 eV/atom
Density: 6.538 g/cm³
Formation energy without anion corrections: 0.72 eV/atom

Cell lengths 4.8075, 4.8075, 4.7871 Å; angles 90.00, 90.00, 90.00 degrees
Last column: nearest neighbours and their distance in Å.
Fractional positions:
Te: 0.0000 0.5000 0.0000  2 B 2.40
Te: 0.5000 0.0000 0.0000  2 B 2.40
B: 0.0000 0.0000 0.0000  2 Sb 2.39, 4 Te 2.40
Ti: 0.5000 0.5000 0.5000  8 Te 3.39, 4 Sb 3.40
Sb: 0.0000 0.0000 0.5000  2 B 2.39

> The lowest polymorph energy (0 for the lowest one) belongs to which entry?

TiBSbTe2

> Look up the formation energy without anion corrections of the second one.

0.72 eV/atom

> density of number 2 (TiBSbTe2)?

6.538 g/cm³